PBE-GGA Er8MgTe2, relaxed; calculated total energy = -0.3230 Ry/atom; uncorrected formation energy = -0.3604 eV per atom; crystal system = monoclinic; SG = C2/m (12)
1.0
8.6726 -3.2206 0.0000
8.6726 3.2206 0.0000
-2.1707 0.0000 5.7508
Er Mg Te
8 1 2
Cartesian
0.8353 0.0000 1.3372
6.3547 1.6215 1.5822
3.5804 0.0000 3.8798
8.8199 1.6215 4.1685
6.3547 -1.6215 1.5822
11.5941 0.0000 1.8710
8.8199 -1.6215 4.1685
14.3393 0.0000 4.4135
8.6726 0.0000 0.0000
3.8094 0.0000 0.7344
11.3652 0.0000 5.0163